1.
NaBiRh, optimized geometry, DFT PBE; M_tot = 0.000 μB per atom; calculated total energy = -4.206 eV per atom; calculated formation energy = -0.07 eV per formula unit
1.0
-0.682 1.451 2.947
3.347 -2.640 2.074
1.112 4.231 -1.827
Na Rh Bi
1 1 1
direct
0.667 0.333 0.667
0.167 0.667 0.333
0.166 0.000 0.000


2.
Al3ZnCu6, optimized geometry, DFT PBE; M_tot = 0.000 μB per atom; calculated total energy = -3.889 eV per atom; calculated formation energy = -1.81 eV per formula unit
1.0
-3.202 1.892 -2.070
3.363 -1.052 -6.165
-5.664 -7.024 2.344
Al Zn Cu
6 2 12
direct
0.250 0.553 0.375
0.750 0.447 0.625
0.250 0.355 0.777
0.750 0.645 0.223
0.250 0.776 0.977
0.750 0.224 0.023
0.250 0.957 0.573
0.750 0.043 0.427
0.250 0.466 0.074
0.750 0.534 0.926
0.250 0.166 0.171
0.750 0.834 0.829
0.250 0.663 0.674
0.750 0.337 0.326
0.250 0.265 0.473
0.750 0.735 0.527
0.250 0.866 0.272
0.750 0.134 0.728
0.250 0.060 0.869
0.750 0.940 0.131


3.
CoGe2BN, optimized geometry, DFT PBE; E_form (uncorrected) = 405 meV per atom; M_tot = 0.262 μB per atom; calculated total energy = -5.863 eV per atom
1.0
4.848 0.000 0.000
0.000 2.727 0.000
0.000 0.000 4.848
Ge B Co N
2 1 1 1
direct
0.000 0.000 0.500
0.500 0.000 0.000
0.000 0.500 0.000
0.500 0.500 0.500
0.000 0.000 0.000


4.
Sr2AsHSe, optimized geometry, DFT PBE; M_tot = 0.000 μB per atom; calculated total energy = -3.221 eV per atom
1.0
5.897 0.000 0.000
0.000 5.138 0.000
0.000 0.000 5.897
Sr As Se H
2 1 1 1
direct
0.000 0.000 0.500
0.500 0.000 0.000
0.000 0.000 0.000
0.000 0.500 0.000
0.500 0.500 0.500


Computed Fermi-level density of states, in the same sequence as the records: 0.76, 0.23, 0.72, 0.29 states/eV per atom.